12
Lattice="6.981 0.000 0.000 0.000 7.305 0.000 -3.491 -3.652 6.922" Properties=species:S:1:pos:R:3 comment="Er3TmAg2 (PBE-GGA, relaxed)" ef_mev_per_atom=25 vol_a3_per_atom=29.4 spacegroup="Ibam (72)" dos_at_fermi_per_ev_cell=14.50 de_polymorph_mev_per_atom=231.2 pbc="T T T"
Er 3.491 5.478 0.000
Er 3.491 -1.826 3.762
Er 0.000 1.826 3.160
Er 3.491 1.826 0.000
Er 3.491 1.826 3.762
Er 0.000 5.478 3.160
Tm 0.000 3.652 0.000
Tm 0.000 0.000 0.000
Ag 1.409 0.000 4.965
Ag -1.409 3.652 4.965
Ag 4.900 0.000 1.957
Ag 2.081 3.652 1.957